No. 1
First-principles (PBE) data for LiOsW2 after structural relaxation, as listed in the Alexandria database.

extended XYZ file:
```
4
Lattice="-0.209 2.442 -1.474 -1.416 -1.827 -2.826 -5.151 0.803 2.063" Properties=species:S:1:pos:R:3 pbc="T T T"
Li -2.616 0.408 1.048
Os -4.580 0.895 -0.641
W -5.086 0.793 2.037
W -2.222 0.527 -1.585
```

## Properties
Formation enthalpy at 0 K in kJ/mol of atoms: 36
Calculated total energy in eV/atom: -9.39
SG: Pmm2
Density of states at the Fermi level in states/eV/f.u.: 2.6

***

No. 2
First-principles (PBE) data for LiOsW2 after structural relaxation, as listed in the Alexandria database.

extended XYZ file:
```
4
Lattice="-2.058 8.510 4.161 -4.546 7.993 3.067 -3.877 6.947 5.539" Properties=species:S:1:pos:R:3 pbc="T T T"
Li -2.620 5.863 3.192
Os -7.861 17.588 9.575
W -0.047 0.105 0.057
W -5.194 11.620 6.326
```

## Properties
Formation enthalpy at 0 K in kJ/mol of atoms: 33
Calculated total energy in eV/atom: -9.42
SG: R-3m
Density of states at the Fermi level in states/eV/f.u.: 2.1